*a*
DFT (PBE) results for a geometry-optimized BaReB structure.

Summary:
SG = F-43m, No. 216
volume = 20.4 A^3/atom

Lattice parameters (Å, degrees): 4.423 4.423 4.423 60.00 60.00 60.00
Sites, in units of the cell vectors:
1 Re 0.000 0.000 0.000
2 B 0.250 0.250 0.250
3 Ba 0.750 0.750 0.750

---

*b*
DFT (PBE) results for a geometry-optimized BaReB structure.

Summary:
SG = R3m, No. 160
volume = 22.6 A^3/atom

Lattice parameters (Å, degrees): 4.223 4.223 4.223 73.87 73.87 73.87
Each line ends with the local moment (μB).
Sites, in units of the cell vectors:
1 B 0.150 0.150 0.150  -0.06
2 Re 0.361 0.361 0.361  1.42
3 Ba 0.819 0.819 0.819  0.03

---

Which is the most stable structure? *b* is the most stable.

---

*a*
DFT (PBE) results for a geometry-optimized BaSmB4 structure.

Summary:
SG = P6/mmm, No. 191
volume = 14.1 A^3/atom

Lattice parameters (Å, degrees): 3.317 3.317 8.893 90.00 90.00 120.00
Sites, in units of the cell vectors:
1 B 0.333 0.667 0.278
2 B 0.667 0.333 0.278
3 B 0.333 0.667 0.722
4 B 0.667 0.333 0.722
5 Ba 0.000 0.000 0.000
6 Sm 0.000 0.000 0.500

---

*b*
DFT (PBE) results for a geometry-optimized BaSmB4 structure.

Summary:
SG = Immm, No. 71
volume = 16.7 A^3/atom

Lattice parameters (Å, degrees): 5.844 5.844 5.844 148.60 95.39 93.01
Sites, in units of the cell vectors:
1 B 0.019 0.752 0.267
2 B 0.485 0.752 0.733
3 Ba 0.000 0.000 0.000
4 B 0.515 0.248 0.267
5 Sm 0.500 0.500 0.000
6 B 0.981 0.248 0.733

---

Which is the most stable structure? *b* is the most stable.

---

*a*
DFT (PBE) results for a geometry-optimized BaTaB structure.

Summary:
SG = F-43m, No. 216
volume = 21.6 A^3/atom

Lattice parameters (Å, degrees): 4.506 4.506 4.506 60.00 60.00 60.00
Sites, in units of the cell vectors:
1 B 0.000 0.000 0.000
2 Ba 0.250 0.250 0.250
3 Ta 0.750 0.750 0.750

---

*b*
DFT (PBE) results for a geometry-optimized BaTaB structure.

Summary:
SG = F-43m, No. 216
volume = 26.2 A^3/atom

Lattice parameters (Å, degrees): 4.809 4.809 4.809 60.00 60.00 60.00
Each line ends with the local moment (μB).
Sites, in units of the cell vectors:
1 Ta 0.750 0.750 0.750  1.52
2 Ba 0.000 0.000 0.000  0.18
3 B 0.250 0.250 0.250  -0.16

---

Which is the most stable structure? *a* is the most stable.